This record from Alexandria via LeMat-Bulk describes a geometry-optimized SrCo2Re2 structure. The functional is PBE.

a = 6.0945 Å, b = 6.0945 Å, c = 6.0945 Å
α = 141.55°, β = 141.55°, γ = 55.51°
Sites, in units of the cell vectors:
Sr: 0.0000 0.0000 0.0000
Co: 0.3801 0.3801 0.0000
Co: 0.6199 0.6199 0.0000
Re: 0.2500 0.7500 0.5000
Re: 0.7500 0.2500 0.5000

## Properties
E_tot in eV/atom: -7.73
Energy relative to the elements in meV per atom: 425